Material: Rb2TmCd2Se4
Method: DFT, PBE-GGA
State: optimized geometry

abc: 4.1836 8.5625 8.6593
angles: 112.81 103.98 90.00
Closest atoms and distances in Å follow each position.
Element x y z (fractional)
Rb (0.1266, 0.5628, 0.2532)  7 Se 3.44-3.72, 1 Cd 3.71
Rb (0.8734, 0.4372, 0.7468)  7 Se 3.44-3.72, 1 Cd 3.71
Tm (0.0000, 0.0000, 0.0000)  6 Se 2.89-2.90
Cd (0.6867, 0.0165, 0.3735)  3 Se 2.69-2.73
Cd (0.3133, 0.9835, 0.6265)  3 Se 2.69-2.73
Se (0.1828, 0.2184, 0.3656)  2 Cd 2.73, 1 Tm 2.89
Se (0.8172, 0.7816, 0.6344)  2 Cd 2.73, 1 Tm 2.89
Se (0.5213, 0.7851, 0.0425)  1 Cd 2.69, 2 Tm 2.90
Se (0.4787, 0.2149, 0.9575)  1 Cd 2.69, 2 Tm 2.90

Summary:
Its uncorrected energy is -31.94 eV per cell. As for the formation energy without anion corrections: -9.8 eV per formula unit. The value obtained for the density of states at the Fermi level is 3.291 states/eV/f.u.